[1]
Below is a geometry-optimized SrCeIn2Cl8 structure, with properties calculated at the GGA-PBE level.

```
SrCeIn2Cl8
1.0
7.0120 -0.1196 -0.0038
-0.1154 6.8753 -0.0077
0.0045 0.0107 8.7945
Cl Sr In Ce
8 1 2 1
direct
0.8567 0.2119 0.7694 Cl
0.6754 0.7290 0.5000 Cl
0.1433 0.7881 0.7694 Cl
0.6909 0.7770 0.0000 Cl
0.8567 0.2119 0.2306 Cl
0.3246 0.2710 0.5000 Cl
0.3091 0.2230 0.0000 Cl
0.1433 0.7881 0.2306 Cl
0.0000 0.0000 0.5000 Sr
0.5000 0.5000 0.2543 In
0.5000 0.5000 0.7457 In
0.0000 0.0000 0.0000 Ce
```

---

[2]
Below is a geometry-optimized SrCeInCl6 structure, with properties calculated at the GGA-PBE level.

```
SrCeInCl6
1.0
7.5188 0.0000 0.0000
-3.7594 6.5115 0.0000
0.0000 0.0000 13.2730
Cl Ce In Sr
12 2 2 2
direct
0.0140 0.6429 0.8654 Cl
0.6289 0.6429 0.6346 Cl
0.6289 0.9860 0.8654 Cl
0.9860 0.3571 0.1346 Cl
0.3711 0.0140 0.1346 Cl
0.0140 0.3711 0.6346 Cl
0.3571 0.9860 0.6346 Cl
0.9860 0.6289 0.3654 Cl
0.6429 0.6289 0.1346 Cl
0.3711 0.3571 0.3654 Cl
0.3571 0.3711 0.8654 Cl
0.6429 0.0140 0.3654 Cl
0.3333 0.6667 0.7500 Ce
0.6667 0.3333 0.2500 Ce
0.0000 0.0000 0.0000 In
0.0000 0.0000 0.5000 In
0.3333 0.6667 0.2500 Sr
0.6667 0.3333 0.7500 Sr
```

---

[3]
Below is a geometry-optimized Ce3Ir2Cl structure, with properties calculated at the GGA-PBE level.

```
Ce3Ir2Cl
1.0
-1.4360 1.4789 3.5442
-3.2963 -7.1644 -0.7176
7.0134 -3.6646 4.3706
Ce Ir Cl
6 4 2
direct
0.8691 0.7382 0.2500 Ce
0.3735 0.7471 0.5470 Ce
0.1309 0.2618 0.7500 Ce
0.6265 0.2529 0.4530 Ce
0.3735 0.7471 0.9530 Ce
0.6265 0.2529 0.0470 Ce
0.4910 0.9820 0.2500 Ir
0.5090 0.0180 0.7500 Ir
0.0000 0.0000 0.0000 Ir
0.0000 0.0000 0.5000 Ir
0.7778 0.5555 0.7500 Cl
0.2222 0.4445 0.2500 Cl
```

---

[4]
Below is a geometry-optimized Ce2IrCl3 structure, with properties calculated at the GGA-PBE level.

```
Ce2IrCl3
1.0
4.1992 0.0000 0.0000
2.0996 8.7658 0.0247
2.0996 2.1123 9.7701
Ce Cl Ir
4 6 2
direct
0.1244 0.5695 0.1816 Ce
0.6078 0.1933 0.5910 Ce
0.3922 0.8067 0.4090 Ce
0.8756 0.4305 0.8184 Ce
0.9483 0.8928 0.2106 Cl
0.6767 0.6767 0.9699 Cl
0.2208 0.1567 0.4017 Cl
0.7792 0.8433 0.5983 Cl
0.3233 0.3233 0.0301 Cl
0.0517 0.1072 0.7894 Cl
0.4467 0.4711 0.6355 Ir
0.5533 0.5289 0.3645 Ir
```

---

[5]
Below is a geometry-optimized Ce3IrCl2 structure, with properties calculated at the GGA-PBE level.

```
Ce3IrCl2
1.0
-0.3444 3.9311 0.5099
-3.4762 0.3032 -4.6852
-3.1696 -3.0434 5.7967
Ce Cl Ir
3 2 1
direct
0.5000 0.0000 0.5000 Ce
0.1527 0.6527 0.8054 Ce
0.8473 0.3473 0.1946 Ce
0.1687 0.1687 0.8374 Cl
0.8313 0.8313 0.1626 Cl
0.5000 0.5000 0.5000 Ir
```

---

[6]
Below is a geometry-optimized Ce2IrCl2 structure, with properties calculated at the GGA-PBE level.

```
Ce2IrCl2
1.0
-2.1852 2.2879 2.5323
0.7933 -0.0557 3.9774
6.3334 8.8261 0.7333
Ce Cl Ir
2 2 1
direct
0.2779 0.7923 0.6518 Ce
0.7221 0.2077 0.3482 Ce
0.5503 0.0820 0.8173 Cl
0.4497 0.9180 0.1827 Cl
0.0000 0.5000 0.5000 Ir
```

---

[7]
Below is a geometry-optimized Ce4Ir3Cl structure, with properties calculated at the GGA-PBE level.

```
Ce4Ir3Cl
1.0
-2.3970 3.2553 0.2351
1.4782 0.5903 6.9332
5.7179 4.1549 0.8025
Ir Ce Cl
3 4 1
direct
0.0000 0.5001 0.5000 Ir
0.5000 0.0001 0.4999 Ir
0.9999 0.0001 0.0000 Ir
0.5000 0.2429 0.7429 Ce
0.4999 0.7572 0.2572 Ce
0.0000 0.2341 0.2660 Ce
0.0000 0.7662 0.7339 Ce
0.5000 0.5002 0.9999 Cl
```

---

[8]
Below is a geometry-optimized Ce4Ir2Cl structure, with properties calculated at the GGA-PBE level.

```
Ce4Ir2Cl
1.0
-2.6612 -7.0907 -0.9178
7.5072 -0.3835 1.3029
-3.3097 3.4776 5.9291
Ce Ir Cl
8 4 2
direct
0.6106 0.7610 0.9933 Ce
0.0067 0.6172 0.7676 Ce
0.2324 0.2390 0.8496 Ce
0.1504 0.3828 0.3894 Ce
0.7433 0.2610 0.8606 Ce
0.5176 0.1172 0.2567 Ce
0.5996 0.7390 0.4824 Ce
0.1394 0.8828 0.4004 Ce
0.8750 0.1198 0.4948 Ir
0.5052 0.3802 0.6250 Ir
0.2448 0.6198 0.1250 Ir
0.3750 0.8802 0.7552 Ir
0.0000 0.0000 0.0000 Cl
0.7500 0.5000 0.2500 Cl
```

---

[9]
Below is a geometry-optimized Ce8Ir5Cl structure, with properties calculated at the GGA-PBE level.

```
Ce8Ir5Cl
1.0
7.1384 0.0000 -2.5625
-3.5106 6.2367 -2.5105
-0.1172 0.0000 7.5835
Ir Ce Cl
5 8 1
direct
0.7512 0.6205 0.6318 Ir
0.8693 0.8806 0.2488 Ir
0.5000 0.0000 0.5000 Ir
0.0114 0.3795 0.1307 Ir
0.3682 0.1194 0.9886 Ir
0.1225 0.7627 0.4885 Ce
0.6370 0.8828 0.8827 Ce
0.9999 0.1172 0.7541 Ce
0.1173 0.7542 0.0001 Ce
0.2459 0.2458 0.3630 Ce
0.6402 0.3660 0.8775 Ce
0.7258 0.2373 0.3598 Ce
0.5115 0.6340 0.2742 Ce
0.2500 0.5000 0.7500 Cl
```

---

[10]
Below is a geometry-optimized CeIrCl structure, with properties calculated at the GGA-PBE level.

```
CeIrCl
1.0
3.9312 0.0000 0.0000
0.0000 8.0512 0.1058
-1.9656 -0.7477 10.3577
Ce Ir Cl
4 4 4
direct
0.6532 0.5968 0.3064 Ce
0.3429 0.8812 0.6857 Ce
0.6571 0.1188 0.3143 Ce
0.3468 0.4032 0.6936 Ce
0.2457 0.6254 0.4914 Ir
0.7490 0.8755 0.4980 Ir
0.2510 0.1245 0.5020 Ir
0.7543 0.3746 0.5086 Ir
0.4343 0.1539 0.8686 Cl
0.0902 0.3473 0.1805 Cl
0.5657 0.8461 0.1314 Cl
0.9098 0.6527 0.8195 Cl
```

---

[11]
Below is a geometry-optimized CeNdIrCl structure, with properties calculated at the GGA-PBE level.

```
CeNdIrCl
1.0
4.0728 -0.0006 0.0000
-2.0360 3.5271 -0.0006
-2.0357 -1.1762 7.6764
Cl Ce Ir Nd
1 1 1 1
direct
0.9650 0.3808 0.3605 Cl
0.1024 0.9492 0.0669 Ce
0.3103 0.5530 0.8787 Ir
0.5002 0.1479 0.6637 Nd
```

---

[12]
Below is a geometry-optimized Ce8NiIr3Cl4 structure, with properties calculated at the GGA-PBE level.

```
Ce8NiIr3Cl4
1.0
-4.9571 6.4182 0.1591
-5.3414 -4.2591 5.3950
7.7610 0.8138 2.2204
Ce Ni Cl Ir
8 1 4 3
direct
0.7374 0.7120 0.4748 Ce
0.2618 0.2916 0.0266 Ce
0.2352 0.7084 0.9734 Ce
0.2626 0.2880 0.5252 Ce
0.2355 0.7086 0.4709 Ce
0.7382 0.7084 0.9734 Ce
0.7645 0.2914 0.5291 Ce
0.7648 0.2916 0.0266 Ce
0.0000 0.5000 0.0000 Ni
0.5000 0.0000 0.0000 Cl
0.0000 0.0000 0.5000 Cl
0.0000 0.0000 0.0000 Cl
0.5000 0.0000 0.5000 Cl
0.5000 0.5000 0.5000 Ir
0.5000 0.5000 0.0000 Ir
0.0000 0.5000 0.5000 Ir
```

---

| no. | total DFT energy (no corrections) (eV/atom) |
| --- | --- |
| 1 | -4.023 |
| 2 | -4.367 |
| 3 | -6.967 |
| 4 | -5.941 |
| 5 | -6.288 |
| 6 | -6.370 |
| 7 | -7.441 |
| 8 | -7.049 |
| 9 | -7.474 |
| 10 | -6.738 |
| 11 | -6.499 |
| 12 | -6.524 |